(1)
This record from the Open Quantum Materials Database describes a relaxed structure of LiCuSiS3. The functional is PBE.

Cell lengths 6.330, 6.330, 9.499 Å; angles 90.00, 90.00, 149.31 degrees
Atoms (fractional coordinates):
1 Li 0.195 0.805 0.750
2 Li 0.805 0.195 0.250
3 Cu 0.106 0.894 0.250
4 Cu 0.894 0.106 0.750
5 Si 0.500 0.500 0.000
6 Si 0.500 0.500 0.500
7 S 0.131 0.869 0.022
8 S 0.131 0.869 0.478
9 S 0.453 0.547 0.250
10 S 0.547 0.453 0.750
11 S 0.869 0.131 0.522
12 S 0.869 0.131 0.978

Computed properties:
Volume in Å³/atom: 16.2
Final energy in eV/f.u.: -26.3

(2)
This record from the Open Quantum Materials Database describes a relaxed structure of FeReGeOs. The functional is PBE.

Cell lengths 6.064, 6.064, 6.064 Å; angles 90.00, 90.00, 90.00 degrees
Atoms (fractional coordinates):
1 Fe 0.000 0.000 0.000
2 Fe 0.000 0.500 0.500
3 Fe 0.500 0.000 0.500
4 Fe 0.500 0.500 0.000
5 Re 0.250 0.250 0.250
6 Re 0.250 0.750 0.750
7 Re 0.750 0.250 0.750
8 Re 0.750 0.750 0.250
9 Ge 0.250 0.250 0.750
10 Ge 0.250 0.750 0.250
11 Ge 0.750 0.250 0.250
12 Ge 0.750 0.750 0.750
13 Os 0.000 0.000 0.500
14 Os 0.000 0.500 0.000
15 Os 0.500 0.000 0.000
16 Os 0.500 0.500 0.500

Computed properties:
Volume in Å³/atom: 13.9
Final energy in eV/f.u.: -35.3